# 1
# Sm6SnTe3As2, relaxed, DFT PBE-GGA
data_Sm6SnTe3As2
_chemical_formula_sum 'Sm12 Sn2 Te6 As4'
_cell_length_a 19.194
_cell_length_b 4.350
_cell_length_c 8.839
_cell_angle_alpha 90.00
_cell_angle_beta 104.29
_cell_angle_gamma 90.00
_symmetry_space_group_name_H-M 'C 1 2/m 1'
_symmetry_Int_Tables_number 12
loop_
_symmetry_equiv_pos_as_xyz
'x,y,z'
'-x,-y,-z'
'-x,y,-z'
'x,-y,z'
'x+1/2,y+1/2,z'
'-x+1/2,-y+1/2,-z'
'-x+1/2,y+1/2,-z'
'x+1/2,-y+1/2,z'
loop_
_atom_site_label
_atom_site_type_symbol
_atom_site_fract_x
_atom_site_fract_y
_atom_site_fract_z
_atom_site_occupancy
Sm1 Sm 0.008 0.000 0.248 1
Sm2 Sm 0.166 0.500 0.104 1
Sm3 Sm 0.174 0.500 0.568 1
Sn1 Sn 0.000 0.500 0.000 1
Te1 Te 0.000 0.500 0.500 1
Te2 Te 0.165 0.000 0.832 1
As1 As 0.168 0.000 0.336 1
# uncorrected formation energy: -1.3837 eV/atom
# density: 7.214 g cm⁻³


# 2
# SmDyNiIr, relaxed, DFT PBE-GGA
data_SmDyNiIr
_chemical_formula_sum 'Sm2 Dy2 Ni2 Ir2'
_cell_length_a 4.106
_cell_length_b 3.912
_cell_length_c 10.706
_cell_angle_alpha 90.00
_cell_angle_beta 90.00
_cell_angle_gamma 90.00
_symmetry_space_group_name_H-M 'A m m 2'
_symmetry_Int_Tables_number 38
loop_
_symmetry_equiv_pos_as_xyz
'x,y,z'
'-x,-y,z'
'-x,y,z'
'x,-y,z'
'x,y+1/2,z+1/2'
'-x,-y+1/2,z+1/2'
'-x,y+1/2,z+1/2'
'x,-y+1/2,z+1/2'
loop_
_atom_site_label
_atom_site_type_symbol
_atom_site_fract_x
_atom_site_fract_y
_atom_site_fract_z
_atom_site_occupancy
Sm1 Sm 0.000 0.000 0.000 1
Dy1 Dy 0.500 0.000 0.284 1
Ni1 Ni 0.500 0.000 0.570 1
Ir1 Ir 0.000 0.000 0.720 1
# energy relative to the elements: -610.4 meV/atom
# density: 10.888 g cm⁻³


# 3
# AgBiTe2, relaxed, DFT PBE-GGA
data_AgBiTe2
_chemical_formula_sum 'Ag4 Bi4 Te8'
_cell_length_a 6.772
_cell_length_b 6.772
_cell_length_c 13.686
_cell_angle_alpha 90.00
_cell_angle_beta 90.00
_cell_angle_gamma 90.00
_symmetry_space_group_name_H-M 'I -4 2 d'
_symmetry_Int_Tables_number 122
_symmetry_space_group_name_Hall 'I -4 2bw'
loop_
_atom_site_label
_atom_site_type_symbol
_atom_site_fract_x
_atom_site_fract_y
_atom_site_fract_z
_atom_site_occupancy
Ag1 Ag 0.000 0.000 0.000 1
Bi1 Bi 0.000 0.000 0.500 1
Te1 Te 0.220 0.250 0.125 1
# uncorrected formation energy: -0.0713 eV/atom
# density: 6.054 g cm⁻³


# 4
# BaAsPbBr2, relaxed, DFT PBE-GGA
data_BaAsPbBr2
_chemical_formula_sum 'Ba1 As1 Pb1 Br2'
_cell_length_a 6.023
_cell_length_b 6.023
_cell_length_c 6.515
_cell_angle_alpha 90.00
_cell_angle_beta 90.00
_cell_angle_gamma 90.00
_symmetry_space_group_name_H-M 'P 4/m m m'
_symmetry_Int_Tables_number 123
_symmetry_space_group_name_Hall '-P 4 2'
loop_
_atom_site_label
_atom_site_type_symbol
_atom_site_fract_x
_atom_site_fract_y
_atom_site_fract_z
_atom_site_occupancy
Ba1 Ba 0.000 0.000 0.000 1
As1 As 0.000 0.000 0.500 1
Pb1 Pb 0.500 0.500 0.500 1
Br1 Br 0.000 0.500 0.000 1
# uncorrected formation energy: -0.3640 eV/atom
# density: 4.070 g cm⁻³
# polymorph energy (0 for the lowest one): 0.383 eV per atom


# 5
# Cs2AlPtCl6, relaxed, DFT PBE-GGA
data_Cs2AlPtCl6
_chemical_formula_sum 'Cs4 Al2 Pt2 Cl12'
_cell_length_a 7.548
_cell_length_b 7.548
_cell_length_c 9.968
_cell_angle_alpha 90.00
_cell_angle_beta 90.00
_cell_angle_gamma 90.00
_symmetry_space_group_name_H-M 'I 4/m m m'
_symmetry_Int_Tables_number 139
_symmetry_space_group_name_Hall '-I 4 2'
loop_
_atom_site_label
_atom_site_type_symbol
_atom_site_fract_x
_atom_site_fract_y
_atom_site_fract_z
_atom_site_occupancy
Cs1 Cs 0.000 0.500 0.250 1
Al1 Al 0.000 0.000 0.000 1
Pt1 Pt 0.000 0.000 0.500 1
Cl1 Cl 0.000 0.000 0.264 1
Cl2 Cl 0.215 0.215 0.000 1
# uncorrected formation energy: -1.2616 eV/atom
# density: 4.097 g cm⁻³


# 6
# Ba2Hg5Au3, relaxed, DFT PBE-GGA
data_Ba2Hg5Au3
_chemical_formula_sum 'Ba8 Hg20 Au12'
_cell_length_a 4.981
_cell_length_b 27.633
_cell_length_c 8.061
_cell_angle_alpha 90.00
_cell_angle_beta 90.00
_cell_angle_gamma 90.00
_symmetry_space_group_name_H-M 'C m c 21'
_symmetry_Int_Tables_number 36
loop_
_symmetry_equiv_pos_as_xyz
'x,y,z'
'-x,-y,z+1/2'
'-x,y,z'
'x,-y,z+1/2'
'x+1/2,y+1/2,z'
'-x+1/2,-y+1/2,z+1/2'
'-x+1/2,y+1/2,z'
'x+1/2,-y+1/2,z+1/2'
loop_
_atom_site_label
_atom_site_type_symbol
_atom_site_fract_x
_atom_site_fract_y
_atom_site_fract_z
_atom_site_occupancy
Ba1 Ba 0.000 0.023 0.000 1
Ba2 Ba 0.000 0.322 0.039 1
Hg1 Hg 0.000 0.102 0.346 1
Hg2 Hg 0.000 0.205 0.237 1
Hg3 Hg 0.000 0.205 0.847 1
Hg4 Hg 0.000 0.377 0.514 1
Hg5 Hg 0.000 0.447 0.180 1
Au1 Au 0.000 0.109 0.714 1
Au2 Au 0.000 0.270 0.545 1
Au3 Au 0.000 0.452 0.794 1
# energy relative to the elements: -426.9 meV/atom
# density: 11.185 g cm⁻³


# 7
# LiNdSnPt3, relaxed, DFT PBE-GGA
data_LiNdSnPt3
_chemical_formula_sum 'Li4 Nd4 Sn4 Pt12'
_cell_length_a 5.815
_cell_length_b 12.419
_cell_length_c 6.567
_cell_angle_alpha 90.00
_cell_angle_beta 90.00
_cell_angle_gamma 90.00
_symmetry_space_group_name_H-M 'C m c m'
_symmetry_Int_Tables_number 63
_symmetry_space_group_name_Hall '-C 2c 2'
loop_
_atom_site_label
_atom_site_type_symbol
_atom_site_fract_x
_atom_site_fract_y
_atom_site_fract_z
_atom_site_occupancy
Li1 Li 0.000 0.093 0.250 1
Nd1 Nd 0.000 0.330 0.250 1
Sn1 Sn 0.000 0.369 0.750 1
Pt1 Pt 0.000 0.157 0.750 1
Pt2 Pt 0.245 0.000 0.000 1
# energy relative to the elements: -636.9 meV/atom
# density: 11.977 g cm⁻³


# 8
# YPuTh2Se4, relaxed, DFT PBE-GGA
data_YPuTh2Se4
_chemical_formula_sum 'Y1 Pu1 Th2 Se4'
_cell_length_a 7.087
_cell_length_b 4.100
_cell_length_c 7.377
_cell_angle_alpha 90.00
_cell_angle_beta 108.77
_cell_angle_gamma 90.00
_symmetry_space_group_name_H-M 'P 1 2/m 1'
_symmetry_Int_Tables_number 10
loop_
_symmetry_equiv_pos_as_xyz
'x,y,z'
'-x,-y,-z'
'-x,y,-z'
'x,-y,z'
loop_
_atom_site_label
_atom_site_type_symbol
_atom_site_fract_x
_atom_site_fract_y
_atom_site_fract_z
_atom_site_occupancy
Y1 Y 0.000 0.000 0.000 1
Pu1 Pu 0.500 0.500 0.000 1
Th1 Th 0.000 0.500 0.500 1
Th2 Th 0.500 0.000 0.500 1
Se1 Se 0.244 0.500 0.238 1
Se2 Se 0.252 0.000 0.762 1
# uncorrected formation energy: -1.6005 eV/atom
# density: 9.104 g cm⁻³


One value per record, in order, for calculated volume: 715.20, 171.97, 627.63, 236.34, 567.86, 1109.57, 474.25, 202.97 Å³ per cell.